A relaxed Sr2ZnC crystal. Source: Alexandria, functional PBE-GGA.

**Formation energy from the elements**: 0.639 eV/atom
**Size of the total moment**: 0.00 μB per cell
**Final energy**: -0.20776 Ry/atom
**Space group**: No. 122
**Offset from the most stable computed form**: 0.017 eV per atom
**ρ**: 3.48 Mg/m³

Cell: 6.7946 6.7946 6.7946 Å, 109.27 109.27 109.87°
With the nearest neighbours (Å) after each atom.
Positions (direct):
1 Sr 0.0430 0.6250 0.9180  2 C 2.56
2 Sr 0.3750 0.2930 0.4180  2 C 2.56
3 Sr 0.7070 0.1250 0.0820  2 C 2.56
4 Sr 0.8750 0.9570 0.5820  2 C 2.56
5 Zn 0.2500 0.7500 0.5000  8 Sr 3.41-3.77
6 Zn 0.5000 0.5000 0.0000  8 Sr 3.41-3.77
7 C 0.0000 0.0000 0.0000  4 Sr 2.56
8 C 0.7500 0.2500 0.5000  4 Sr 2.56